No. 1
Here is crystalline InSeCl2 at its relaxed geometry from the Alexandria database. Energies are from PBE.

Energy above the lowest structure with this stoichiometry = 703 meV per atom
Total energy = -2.435 eV per atom
V = 103.83 Å³ per cell
Uncorrected formation energy = 0.04 eV/atom

Cell: 5.276 5.276 5.276 Å, 60.00 60.00 60.00°
Site moments in Bohr magnetons follow the coordinates.
Positions (direct):
1 Cl 0.250 0.250 0.250  0.28
2 Cl 0.750 0.750 0.750  0.28
3 Se 0.000 0.000 0.000  1.29
4 In 0.500 0.500 0.500  0.08

***

No. 2
Here is crystalline InSeCl2 at its relaxed geometry from the Alexandria database. Energies are from PBE.

Energy above the lowest structure with this stoichiometry = 336 meV per atom
Total energy = -2.802 eV per atom
V = 115.05 Å³ per cell
Uncorrected formation energy = -0.32 eV/atom

Cell: 4.647 4.651 5.323 Å, 90.00 90.00 90.00°
Positions (direct):
1 Cl 0.000 0.000 0.098
2 Cl 0.500 0.500 0.195
3 Se 0.500 0.500 0.602
4 In 0.000 0.000 0.606

***

No. 3
Here is crystalline InSe2Cl at its relaxed geometry from the Alexandria database. Energies are from PBE.

Energy above the lowest structure with this stoichiometry = 242 meV per atom
Total energy = -3.164 eV per atom
V = 128.87 Å³ per cell
Uncorrected formation energy = -0.28 eV/atom

Cell: 4.521 4.521 7.810 Å, 77.18 77.18 56.53°
Positions (direct):
1 Cl 0.556 0.556 0.422
2 In 0.298 0.298 0.253
3 Se 0.936 0.936 0.979
4 Se 0.710 0.710 0.846